[1]
A relaxed structure of TiNbSn. Source: Alexandria, functional PBE-GGA.

## Properties
**Calculated formation energy**: 0.047 eV per formula unit
**E**: -7.307 eV per atom

Cell: 5.287 2.955 7.806 Å, 100.91 90.00 90.00°
Positions (direct):
1 Ti 0.749 0.835 0.670
2 Ti 0.249 0.165 0.330
3 Sn 0.749 0.650 0.299
4 Sn 0.249 0.350 0.701
5 Nb 0.999 0.000 0.000
6 Nb 0.499 0.000 0.000

---

[2]
A relaxed structure of Be2AgSb. Source: Alexandria, functional PBE-GGA.

## Properties
**E**: -3.187 eV per atom
**Uncorrected formation energy**: 419 meV/atom

Cell: 6.396 6.396 6.396 Å, 145.94 152.31 44.44°
Positions (direct):
1 Be 0.080 0.080 0.000
2 Be 0.186 0.686 0.500
3 Sb 0.484 0.484 0.000
4 Ag 0.751 0.251 0.500

---

[3]
A relaxed structure of CdHg2Sb2. Source: Alexandria, functional PBE-GGA.

## Properties
**ΔE to the lowest computed polymorph**: 0 meV per atom
**E**: -1.794 eV per atom
**Uncorrected formation energy**: 159 meV/atom

Cell: 5.938 5.938 6.348 Å, 62.12 62.12 90.00°
Positions (direct):
1 Hg 0.750 0.250 0.500
2 Hg 0.250 0.750 0.500
3 Cd 0.000 0.000 0.000
4 Sb 0.709 0.709 0.583
5 Sb 0.291 0.291 0.417

---

[4]
A relaxed structure of YZr2Tc. Source: Alexandria, functional PBE-GGA.

## Properties
**ΔE to the lowest computed polymorph**: 49 meV per atom
**Calculated formation energy**: -0.309 eV per formula unit
**E**: -8.559 eV per atom

Cell: 5.983 5.983 4.961 Å, 65.53 65.53 33.75°
Positions (direct):
1 Zr 0.794 0.794 0.704
2 Zr 0.001 0.001 0.998
3 Tc 0.488 0.488 0.517
4 Y 0.217 0.217 0.281

---

[5]
A relaxed structure of Pr8BiPb2. Source: Alexandria, functional PBE-GGA.

## Properties
**Calculated formation energy**: -3.562 eV per formula unit
**E**: -4.827 eV per atom

Cell: 5.150 7.486 10.458 Å, 98.78 104.25 90.00°
Positions (direct):
1 Pr 0.019 0.753 0.039
2 Pr 0.787 0.649 0.575
3 Pr 0.338 0.976 0.677
4 Pr 0.405 0.513 0.811
5 Pr 0.662 0.024 0.323
6 Pr 0.595 0.487 0.189
7 Pr 0.981 0.247 0.961
8 Pr 0.213 0.351 0.425
9 Pb 0.818 0.227 0.636
10 Pb 0.182 0.773 0.364
11 Bi 0.500 0.000 0.000

---

[6]
A relaxed structure of PuHfPt. Source: Alexandria, functional PBE-GGA.

## Properties
**Calculated formation energy**: -1.080 eV per formula unit
**E**: -10.469 eV per atom

Cell: 3.592 4.619 4.619 Å, 120.00 90.00 90.00°
Last column: magnetic moment on the atom in μB.
Positions (direct):
1 Pt 0.253 0.667 0.333  -0.01
2 Pu 0.649 0.333 0.667  5.23
3 Hf 0.098 0.000 0.000  0.16

---

[7]
A relaxed structure of Tm8GaRh2. Source: Alexandria, functional PBE-GGA.

## Properties
**Calculated formation energy**: -4.430 eV per formula unit
**E**: -5.266 eV per atom

Cell: 5.396 7.745 7.745 Å, 113.57 98.44 98.44°
Positions (direct):
1 Ga 0.024 0.003 0.003
2 Rh 0.499 0.697 0.310
3 Rh 0.499 0.310 0.697
4 Tm 0.411 0.672 0.928
5 Tm 0.580 0.334 0.078
6 Tm 0.411 0.928 0.672
7 Tm 0.998 0.238 0.765
8 Tm 0.808 0.625 0.625
9 Tm 0.580 0.078 0.334
10 Tm 0.190 0.384 0.384
11 Tm 0.998 0.765 0.238

---

[8]
A relaxed structure of IrPbAuI2. Source: Alexandria, functional PBE-GGA.

## Properties
**E**: -3.336 eV per atom
**Uncorrected formation energy**: 453 meV/atom

Cell: 5.329 5.276 5.329 Å, 90.00 90.00 90.00°
Positions (direct):
1 Pb 0.500 0.500 0.500
2 I 0.500 0.000 0.000
3 I 0.000 0.000 0.500
4 Au 0.000 0.500 0.000
5 Ir 0.000 0.000 0.000

---

[9]
A relaxed structure of Ce4Ga2S5O4. Source: Alexandria, functional PBE-GGA.

## Properties
**E**: -6.935 eV per atom
**Uncorrected formation energy**: -2252 meV/atom

Cell: 3.886 7.857 9.674 Å, 101.59 101.58 90.20°
Last column: magnetic moment on the atom in μB.
Positions (direct):
1 S 0.376 0.717 0.779  -0.01
2 S 0.600 0.307 0.225  -0.03
3 S 0.377 0.189 0.777  -0.03
4 S 0.597 0.826 0.220  -0.01
5 S 0.983 0.487 0.996  -0.01
6 Ce 0.171 0.106 0.363  0.53
7 Ce 0.168 0.594 0.361  0.56
8 Ce 0.810 0.416 0.644  0.58
9 Ce 0.807 0.920 0.634  0.52
10 O 0.740 0.133 0.500  -0.03
11 O 0.739 0.632 0.500  -0.03
12 O 0.236 0.880 0.495  -0.03
13 O 0.243 0.385 0.507  -0.03
14 Ga 0.490 0.653 0.000  0.00
15 Ga 0.848 0.162 0.001  -0.01

---

[10]
A relaxed structure of Pm3NdSm4Se8. Source: Alexandria, functional PBE-GGA.

## Properties
**E**: -5.932 eV per atom
**Uncorrected formation energy**: -1821 meV/atom

Cell: 8.382 8.381 8.379 Å, 119.98 120.01 90.00°
Positions (direct):
1 Se 0.252 0.753 0.504
2 Se 0.252 0.753 0.002
3 Se 0.750 0.753 0.002
4 Se 0.751 0.752 0.502
5 Se 0.249 0.248 0.498
6 Se 0.748 0.247 0.998
7 Se 0.748 0.247 0.496
8 Se 0.250 0.247 0.998
9 Sm 0.500 0.000 0.500
10 Sm 0.500 0.000 0.000
11 Sm 0.000 0.000 0.500
12 Sm 0.000 0.000 0.000
13 Nd 0.000 0.500 0.000
14 Pm 0.500 0.500 0.500
15 Pm 0.000 0.500 0.500
16 Pm 0.500 0.500 0.000